1.
DFT (GGA-PBE) results for crystalline ZnFe3B at its relaxed geometry.

theoretical density: 4.93 g cm⁻³
space group: Pm-3m
energy of formation from the pure elements: 1885 meV per atom
total moment: 8.5 μB per cell
energy relative to the lowest polymorph listed for this composition: 1837 meV/atom

Lattice parameters (Å, degrees): 4.347 4.347 4.347 90.00 90.00 90.00
Sites, in units of the cell vectors:
Zn 0.000 0.000 0.000
Fe 0.000 0.000 0.500
Fe 0.000 0.500 0.000
Fe 0.500 0.000 0.000
B 0.500 0.500 0.500



2.
DFT (GGA-PBE) results for crystalline KBe2Tl2O6 at its relaxed geometry.

theoretical density: 5.65 g cm⁻³
space group: P-1
formation energy from raw total energies: -1294 meV per atom
total moment: 1.0 μB per cell

Lattice parameters (Å, degrees): 5.862 5.899 6.238 62.44 88.37 62.69
Sites, in units of the cell vectors:
K 0.000 0.000 0.000
Be 0.289 0.287 0.267
Be 0.711 0.713 0.733
Tl 0.284 0.628 0.658
Tl 0.716 0.372 0.342
O 0.111 0.151 0.311
O 0.325 0.438 0.402
O 0.465 0.277 0.072
O 0.535 0.723 0.928
O 0.675 0.562 0.598
O 0.889 0.849 0.689



3.
DFT (GGA-PBE) results for crystalline Pr2AgSb at its relaxed geometry.

theoretical density: 7.20 g cm⁻³
space group: P2_1/m
formation energy from raw total energies: -661 meV per atom
total moment: 0.0 μB per cell

Lattice parameters (Å, degrees): 6.408 4.528 8.688 90.00 110.71 90.00
Sites, in units of the cell vectors:
Pr 0.213 0.250 0.416
Pr 0.214 0.250 0.937
Pr 0.786 0.750 0.063
Pr 0.787 0.750 0.584
Ag 0.346 0.750 0.209
Ag 0.654 0.250 0.791
Sb 0.328 0.750 0.704
Sb 0.672 0.250 0.296



4.
DFT (GGA-PBE) results for crystalline La2PmHg6 at its relaxed geometry.

theoretical density: 11.39 g cm⁻³
space group: P6/mmm
energy of formation from the pure elements: -465 meV per atom
total moment: 0.6 μB per cell

Lattice parameters (Å, degrees): 8.818 8.818 3.522 90.00 90.00 120.00
Sites, in units of the cell vectors:
La 0.333 0.667 0.000
La 0.667 0.333 0.000
Pm 0.000 0.000 0.000
Hg 0.000 0.331 0.500
Hg 0.000 0.669 0.500
Hg 0.331 0.000 0.500
Hg 0.331 0.331 0.500
Hg 0.669 0.000 0.500
Hg 0.669 0.669 0.500



5.
DFT (GGA-PBE) results for crystalline TaVZn at its relaxed geometry.

theoretical density: 10.15 g cm⁻³
space group: Immm
energy of formation from the pure elements: 386 meV per atom
total moment: 0.0 μB per cell
energy relative to the lowest polymorph listed for this composition: 127 meV/atom

Lattice parameters (Å, degrees): 7.760 7.760 7.760 160.02 142.38 42.95
Sites, in units of the cell vectors:
Ta 0.157 0.157 0.000
Ta 0.843 0.843 0.000
V 0.337 0.337 0.000
V 0.663 0.663 0.000
Zn 0.249 0.500 0.749
Zn 0.751 0.500 0.251



6.
DFT (GGA-PBE) results for crystalline PrYPd4 at its relaxed geometry.

theoretical density: 7.96 g cm⁻³
space group: P4/mmm
energy of formation from the pure elements: -548 meV per atom
total moment: 0.0 μB per cell
energy relative to the lowest polymorph listed for this composition: 275 meV/atom

Lattice parameters (Å, degrees): 3.953 3.953 8.748 90.00 90.00 90.00
Sites, in units of the cell vectors:
Pr 0.000 0.000 0.000
Y 0.500 0.500 0.500
Pd 0.000 0.500 0.257
Pd 0.000 0.500 0.743
Pd 0.500 0.000 0.257
Pd 0.500 0.000 0.743



7.
DFT (GGA-PBE) results for crystalline Ac2Zn2Hg at its relaxed geometry.

theoretical density: 9.12 g cm⁻³
space group: C2/m
energy of formation from the pure elements: -319 meV per atom
total moment: 0.0 μB per cell
energy relative to the lowest polymorph listed for this composition: 0 meV/atom

Lattice parameters (Å, degrees): 6.226 6.226 11.627 115.80 115.80 46.08
Sites, in units of the cell vectors:
Ac 0.027 0.027 0.335
Ac 0.198 0.198 0.109
Ac 0.802 0.802 0.891
Ac 0.973 0.973 0.665
Zn 0.370 0.370 0.441
Zn 0.485 0.485 0.106
Zn 0.515 0.515 0.894
Zn 0.630 0.630 0.559
Hg 0.268 0.268 0.654
Hg 0.732 0.732 0.346



8.
DFT (GGA-PBE) results for crystalline CeCuPtPb at its relaxed geometry.

theoretical density: 11.99 g cm⁻³
space group: F-43m
energy of formation from the pure elements: -458 meV per atom
total moment: 0.5 μB per cell

Lattice parameters (Å, degrees): 4.914 4.914 4.914 60.00 60.00 60.00
Sites, in units of the cell vectors:
Ce 0.000 0.000 0.000
Cu 0.250 0.250 0.250
Pt 0.750 0.750 0.750
Pb 0.500 0.500 0.500



9.
DFT (GGA-PBE) results for crystalline CuAs2Pt at its relaxed geometry.

theoretical density: 10.35 g cm⁻³
space group: F-43m
energy of formation from the pure elements: 240 meV per atom
total moment: 0.0 μB per cell
energy relative to the lowest polymorph listed for this composition: 300 meV/atom

Lattice parameters (Å, degrees): 4.525 4.525 4.525 60.00 60.00 60.00
Sites, in units of the cell vectors:
Cu 0.000 0.000 0.000
As 0.500 0.500 0.500
As 0.750 0.750 0.750
Pt 0.250 0.250 0.250



10.
DFT (GGA-PBE) results for crystalline KCrSe2 at its relaxed geometry.

theoretical density: 3.76 g cm⁻³
space group: Pnma
formation energy from raw total energies: -731 meV per atom
total moment: 12.0 μB per cell

Lattice parameters (Å, degrees): 6.757 3.655 17.809 90.00 90.00 90.00
Sites, in units of the cell vectors:
K 0.072 0.250 0.150
K 0.428 0.750 0.650
K 0.572 0.250 0.350
K 0.928 0.750 0.850
Cr 0.086 0.750 0.429
Cr 0.414 0.250 0.929
Cr 0.586 0.750 0.071
Cr 0.914 0.250 0.571
Se 0.069 0.250 0.335
Se 0.242 0.250 0.509
Se 0.258 0.750 0.009
Se 0.431 0.750 0.835
Se 0.569 0.250 0.165
Se 0.742 0.250 0.991
Se 0.758 0.750 0.491
Se 0.931 0.750 0.665



11.
DFT (GGA-PBE) results for crystalline LiNb2Ir2 at its relaxed geometry.

theoretical density: 10.99 g cm⁻³
space group: P4/mbm
energy of formation from the pure elements: -337 meV per atom
total moment: 0.0 μB per cell
energy relative to the lowest polymorph listed for this composition: 0 meV/atom

Lattice parameters (Å, degrees): 7.754 7.754 2.901 90.00 90.00 90.00
Sites, in units of the cell vectors:
Li 0.000 0.000 0.000
Li 0.500 0.500 0.000
Nb 0.159 0.341 0.500
Nb 0.341 0.841 0.500
Nb 0.659 0.159 0.500
Nb 0.841 0.659 0.500
Ir 0.137 0.637 0.000
Ir 0.363 0.137 0.000
Ir 0.637 0.863 0.000
Ir 0.863 0.363 0.000



12.
DFT (GGA-PBE) results for crystalline Pr3Bi2Se at its relaxed geometry.

theoretical density: 7.78 g cm⁻³
space group: Fddd
formation energy from raw total energies: -1241 meV per atom
total moment: 0.0 μB per cell

Lattice parameters (Å, degrees): 15.001 14.300 7.838 79.48 69.60 30.91
Sites, in units of the cell vectors:
Pr 0.040 0.538 0.200
Pr 0.111 0.639 0.639
Pr 0.200 0.721 0.040
Pr 0.279 0.800 0.462
Pr 0.361 0.889 0.889
Pr 0.462 0.960 0.279
Pr 0.538 0.040 0.721
Pr 0.639 0.111 0.111
Pr 0.721 0.200 0.538
Pr 0.800 0.279 0.960
Pr 0.889 0.361 0.361
Pr 0.960 0.462 0.800
Bi 0.127 0.127 0.623
Bi 0.294 0.294 0.456
Bi 0.377 0.377 0.873
Bi 0.456 0.456 0.294
Bi 0.544 0.544 0.706
Bi 0.623 0.623 0.127
Bi 0.706 0.706 0.544
Bi 0.873 0.873 0.377
Se 0.042 0.042 0.208
Se 0.208 0.208 0.042
Se 0.792 0.792 0.958
Se 0.958 0.958 0.792



13.
DFT (GGA-PBE) results for crystalline KTlTc at its relaxed geometry.

theoretical density: 8.00 g cm⁻³
space group: Fmm2
energy of formation from the pure elements: 938 meV per atom
total moment: 0.6 μB per cell
energy relative to the lowest polymorph listed for this composition: 90 meV/atom

Lattice parameters (Å, degrees): 8.259 8.257 2.980 79.65 79.56 20.79
Sites, in units of the cell vectors:
K 0.000 0.000 0.000
Tl 0.312 0.312 0.688
Tc 0.675 0.675 0.325



14.
DFT (GGA-PBE) results for crystalline LiTiIr at its relaxed geometry.

theoretical density: 9.38 g cm⁻³
space group: I4mm
energy of formation from the pure elements: -401 meV per atom
total moment: 0.0 μB per cell
energy relative to the lowest polymorph listed for this composition: 34 meV/atom

Lattice parameters (Å, degrees): 4.800 4.800 4.800 140.85 140.85 56.57
Sites, in units of the cell vectors:
Li 0.000 0.000 0.000
Ti 0.312 0.312 0.000
Ir 0.667 0.667 0.000



15.
DFT (GGA-PBE) results for crystalline SbSeNO2 at its relaxed geometry.

theoretical density: 6.23 g cm⁻³
space group: P4/mmm
formation energy from raw total energies: 297 meV per atom
total moment: 0.0 μB per cell

Lattice parameters (Å, degrees): 3.927 3.927 4.264 90.00 90.00 90.00
Sites, in units of the cell vectors:
Sb 0.000 0.000 0.000
Se 0.500 0.500 0.500
N 0.000 0.000 0.500
O 0.000 0.500 0.000
O 0.500 0.000 0.000



16.
DFT (GGA-PBE) results for crystalline LaCr3N at its relaxed geometry.

theoretical density: 5.82 g cm⁻³
space group: Pm-3m
formation energy from raw total energies: 3126 meV per atom
total moment: 1.0 μB per cell
energy relative to the lowest polymorph listed for this composition: 2888 meV/atom

Lattice parameters (Å, degrees): 4.451 4.451 4.451 90.00 90.00 90.00
Sites, in units of the cell vectors:
La 0.000 0.000 0.000
Cr 0.000 0.000 0.500
Cr 0.000 0.500 0.000
Cr 0.500 0.000 0.000
N 0.500 0.500 0.500